Record 1
K2NaSmI6 | PBE | optimized geometry

POSCAR file:
```
K2NaSmI6
1.0
-2.149 4.848 -6.713
-7.405 4.283 0.013
0.103 8.720 0.814
I Sm K Na
6 1 2 1
direct
0.180 0.981 0.268 I
0.981 0.572 0.268 I
0.671 0.094 0.773 I
0.461 0.671 0.773 I
0.572 0.180 0.268 I
0.094 0.461 0.773 I
0.323 0.323 0.030 Sm
0.533 0.533 0.400 K
0.027 0.027 0.918 K
0.819 0.819 0.544 Na
```

Formation energy without anion corrections: -1.404 eV/atom

---

Record 2
Ca3Cd9Pb2 | PBE | optimized geometry

POSCAR file:
```
Ca3Cd9Pb2
1.0
4.658 0.000 1.251
1.818 8.688 2.531
0.018 -0.048 9.230
Cd Pb Ca
9 2 3
direct
0.151 0.571 0.127 Cd
0.347 0.028 0.278 Cd
0.849 0.429 0.873 Cd
0.347 0.278 0.028 Cd
0.849 0.873 0.429 Cd
0.653 0.722 0.972 Cd
0.000 0.500 0.500 Cd
0.151 0.127 0.571 Cd
0.653 0.972 0.722 Cd
0.500 0.320 0.680 Pb
0.500 0.680 0.320 Pb
0.705 0.295 0.295 Ca
0.295 0.705 0.705 Ca
0.000 0.000 0.000 Ca
```

Formation energy: -3.043 eV/f.u.

---

Record 3
CaPr2Dy3Te6 | PBE | optimized geometry

POSCAR file:
```
CaPr2Dy3Te6
1.0
4.410 0.000 0.000
0.000 8.924 0.290
-2.205 -2.606 9.351
Te Pr Dy Ca
6 2 3 1
direct
0.660 0.591 0.321 Te
0.340 0.409 0.679 Te
0.002 0.748 0.004 Te
0.666 0.073 0.332 Te
0.334 0.927 0.668 Te
0.998 0.252 0.996 Te
0.173 0.344 0.346 Pr
0.827 0.656 0.654 Pr
0.170 0.830 0.341 Dy
0.500 0.500 0.000 Dy
0.830 0.170 0.659 Dy
0.500 0.000 0.000 Ca
```

Formation energy without anion corrections: -1.399 eV/atom

---

Record 4
Sn2Bi2Br | PBE | optimized geometry

POSCAR file:
```
Sn2Bi2Br
1.0
8.875 0.000 0.000
0.000 8.875 0.000
0.000 0.000 4.005
Bi Sn Br
4 4 2
direct
0.354 0.854 0.000 Bi
0.146 0.354 0.000 Bi
0.646 0.146 0.000 Bi
0.854 0.646 0.000 Bi
0.639 0.861 0.500 Sn
0.361 0.139 0.500 Sn
0.139 0.639 0.500 Sn
0.861 0.361 0.500 Sn
0.000 0.000 0.000 Br
0.500 0.500 0.000 Br
```

Formation energy without anion corrections: -0.004 eV/atom

---

Record 5
MgPaSb2 | PBE | optimized geometry

POSCAR file:
```
MgPaSb2
1.0
3.276 0.000 0.000
1.638 2.837 0.000
1.638 0.946 11.597
Pa Sb Mg
1 2 1
direct
0.500 0.500 0.500 Pa
0.911 0.911 0.268 Sb
0.089 0.089 0.732 Sb
0.000 0.000 0.000 Mg
```

Formation energy without anion corrections: -0.099 eV/atom

---

Record 6
ZnGa2Hg | PBE | optimized geometry

POSCAR file:
```
ZnGa2Hg
1.0
-1.361 -3.288 3.313
-1.728 1.457 4.304
-4.710 -0.585 1.052
Ga Zn Hg
2 1 1
direct
0.250 0.250 0.250 Ga
0.750 0.750 0.750 Ga
0.000 0.000 0.000 Zn
0.500 0.500 0.500 Hg
```

Formation energy: 0.532 eV/f.u.

---

Table of V (Å³ per atom), in record order: 45.84; 26.70; 30.95; 31.54; 26.95; 20.31
Table of total magnetization (μB/f.u.), in record order: 0.00; 0.00; 0.00; 0.00; 0.00; 0.00